[1]
Below is a relaxed VPd2Se6 crystal, with properties calculated at the GGA-PBE level.

Output
offset from the most stable computed form = 0 meV per atom
D(E_F) = 4.70 states/eV per cell

Unit cell a=3.6745 b=8.3104 c=6.5768 alpha=98.47 beta=106.22 gamma=90.00
Positions (direct):
Pd1 0.8332 0.6721 0.6665
V1 0.5000 0.0000 0.0000
Se1 0.0308 0.8009 0.0617
Se2 0.3585 0.4724 0.7170
Pd2 0.1668 0.3279 0.3335
Se3 0.9692 0.1991 0.9383
Se4 0.6415 0.5276 0.2830
Se5 0.6945 0.1255 0.3889
Se6 0.3055 0.8745 0.6111

***

[2]
Below is a relaxed Zr2VPdSe crystal, with properties calculated at the GGA-PBE level.

Output
D(E_F) = 3.56 states/eV per cell

Unit cell a=4.9700 b=4.4308 c=4.9700 alpha=90.00 beta=90.00 gamma=90.00
Positions (direct):
Zr1 0.0000 0.0000 0.5000
Zr2 0.5000 0.0000 0.0000
Pd1 0.5000 0.5000 0.5000
Se1 0.0000 0.0000 0.0000
V1 0.0000 0.5000 0.0000

***

[3]
Below is a relaxed PdWSe4 crystal, with properties calculated at the GGA-PBE level.

Output
D(E_F) = 1.01 states/eV per cell

Unit cell a=7.2592 b=7.2592 c=7.2592 alpha=103.65 beta=103.65 gamma=121.87
Positions (direct):
W1 0.7804 0.7804 0.0000
Pd1 0.2269 0.2269 0.0000
Pd2 0.9769 0.4769 0.5000
Se1 0.7825 0.9946 0.7879
Se2 0.2518 0.5784 0.3267
Se3 0.2518 0.9251 0.6733
W2 0.5304 0.0304 0.5000
Se4 0.3284 0.5018 0.8267
Se5 0.6751 0.5018 0.1733
Se6 0.7446 0.4567 0.7121
Se7 0.2067 0.9946 0.2121
Se8 0.7446 0.0325 0.2879

***

[4]
Below is a relaxed Pd2WSe6 crystal, with properties calculated at the GGA-PBE level.

Output
offset from the most stable computed form = 0 meV per atom
D(E_F) = 5.23 states/eV per cell

Unit cell a=3.6130 b=8.6726 c=6.6626 alpha=100.61 beta=105.73 gamma=90.00
Positions (direct):
Se1 0.3581 0.4752 0.7163
Se2 0.0318 0.8023 0.0636
Pd1 0.1669 0.3314 0.3339
Se3 0.6935 0.1295 0.3869
Se4 0.9682 0.1977 0.9364
Pd2 0.8331 0.6686 0.6661
Se5 0.6419 0.5248 0.2837
Se6 0.3065 0.8705 0.6131
W1 0.5000 0.0000 0.0000

***

[5]
Below is a relaxed Pd2WSe6 crystal, with properties calculated at the GGA-PBE level.

Output
offset from the most stable computed form = 74 meV per atom
D(E_F) = 5.00 states/eV per cell

Unit cell a=6.5725 b=7.0891 c=9.3332 alpha=90.00 beta=77.50 gamma=90.00
Positions (direct):
Se1 0.3205 0.7994 0.1166
Se2 0.8515 0.9346 0.2822
Se3 0.6724 0.1865 0.6127
Se4 0.1795 0.2994 0.3834
Se5 0.3515 0.5654 0.7822
Se6 0.1724 0.3135 0.1127
Pd1 0.5192 0.1181 0.3317
W1 0.0000 0.0000 0.5000
Se7 0.6795 0.2006 0.8834
W2 0.5000 0.5000 0.0000
Se8 0.3276 0.8135 0.3873
Se9 0.1485 0.0654 0.7178
Se10 0.8205 0.7006 0.6166
Se11 0.6485 0.4346 0.2178
Pd2 0.9808 0.6181 0.1683
Pd3 0.4808 0.8819 0.6683
Se12 0.8276 0.6865 0.8873
Pd4 0.0192 0.3819 0.8317

***

[6]
Below is a relaxed Pd3WSe crystal, with properties calculated at the GGA-PBE level.

Output
offset from the most stable computed form = 0 meV per atom
D(E_F) = 4.02 states/eV per cell

Unit cell a=4.6384 b=4.6384 c=4.6384 alpha=90.00 beta=90.00 gamma=90.00
Positions (direct):
Pd1 0.0000 0.0000 0.5000
Se1 0.0000 0.0000 0.0000
Pd2 0.0000 0.5000 0.0000
W1 0.5000 0.5000 0.5000
Pd3 0.5000 0.0000 0.0000

***

Formation energy from raw total energies per entry: -0.353; 0.149; -0.134; -0.201; -0.127; 0.962 eV per atom
Theoretical density per entry: 6.43; 6.35; 7.09; 7.33; 6.81; 9.69 g/cm3